## LiMgMnF6 (PBE+U)

Data for a geometry-optimized LiMgMnF6 structure.

```
18
Lattice="-0.438 -1.750 4.311 2.753 -3.588 -1.176 7.325 4.745 2.670" Properties=species:S:1:pos:R:3 pbc="T T T"
F 3.097 0.000 1.801
F 7.998 3.061 3.626
F 3.413 -2.398 0.363
F 5.765 -0.896 1.184
F 5.651 1.577 2.758
F 6.301 1.809 5.394
F 3.786 0.245 4.588
F 4.054 -2.205 3.096
F 8.878 1.034 4.817
F 8.175 0.730 2.173
F 1.468 -1.277 3.708
F 6.555 -0.508 3.982
Mn 7.259 1.284 3.792
Mn 2.439 1.580 0.889
Mg 2.394 -1.868 2.018
Mg 4.899 3.174 1.786
Li 7.325 4.745 2.670
Li 4.820 -0.297 2.902
```

Results
* Fermi-level density of states: 0.000 states/eV/f.u.
* VASP energy: -5.270 eV per atom
* total moment: 0.22 μB/atom
* crystal system: tetragonal

## LiMgMnF2 (PBE+U)

Data for a geometry-optimized LiMgMnF2 structure.

```
5
Lattice="-3.786 0.570 -0.496 0.422 -2.989 -6.645 -0.722 -3.475 1.517" Properties=species:S:1:pos:R:3 pbc="T T T"
F -0.361 -1.738 0.759
F -1.893 0.285 -0.248
Mg 0.000 0.000 0.000
Li -2.043 -2.947 -2.812
Mn 0.211 -1.494 -3.323
```

Results
* Fermi-level density of states: 2.676 states/eV/f.u.
* VASP energy: -4.358 eV per atom
* total moment: 1.04 μB/atom
* crystal system: tetragonal

## LiMgMoF6 (PBE+U)

Data for a geometry-optimized LiMgMoF6 structure.

```
18
Lattice="5.201 0.000 0.000 -2.601 4.504 0.000 0.000 0.000 9.080" Properties=species:S:1:pos:R:3 pbc="T T T"
F 4.331 1.447 5.689
F 0.818 1.477 3.390
F 3.513 0.030 7.930
F 0.870 1.447 7.930
F 1.731 3.057 1.149
F -1.731 3.057 3.390
F 0.912 4.474 3.390
F 3.419 3.027 7.930
F 1.782 3.027 5.689
F -0.818 1.477 1.149
F 1.688 0.030 5.689
F -0.912 4.474 1.149
Li 0.000 3.003 2.270
Li 2.601 1.501 6.810
Mo 2.601 1.501 2.270
Mo 0.000 3.003 6.810
Mg 0.000 0.000 4.540
Mg 0.000 0.000 0.000
```

Results
* Fermi-level density of states: 0.000 states/eV/f.u.
* VASP energy: -5.399 eV per atom
* total moment: 0.33 μB/atom
* crystal system: trigonal